A relaxed structure of HoEr2Sc4. Source: Alexandria, functional GGA-PBE.

Values from the calculation:
Uncorrected energy: -5.3979 eV per atom
Total moment: 0.000 μB/atom
Energy of formation: 0.18 eV per atom
Energy relative to the lowest polymorph listed for this composition: 5 meV/atom
Space-group type: Cmmm

Lattice parameters (Å, degrees): 3.3584 7.6255 7.6255 87.40 90.00 90.00
Closest atoms and distances in Å follow each position.
Atoms (fractional coordinates):
Ho 0.5000 0.5000 0.5000  2 Ho 3.36, 4 Sc 3.42, 4 Er 3.62
Er 0.0000 0.8040 0.1960  6 Sc 3.27-3.28, 2 Er 3.36, 2 Ho 3.62
Er 0.0000 0.1960 0.8040  6 Sc 3.27-3.28, 2 Er 3.36, 2 Ho 3.62
Sc 0.0000 0.7704 0.7704  6 Sc 3.13-3.36, 2 Er 3.27, 2 Ho 3.42
Sc 0.0000 0.2296 0.2296  6 Sc 3.13-3.36, 2 Er 3.27, 2 Ho 3.42
Sc 0.5000 0.0000 0.5000  6 Sc 3.13-3.36, 4 Er 3.28
Sc 0.5000 0.5000 0.0000  6 Sc 3.13-3.36, 4 Er 3.28

---

A relaxed structure of Ho5ErSc. Source: Alexandria, functional GGA-PBE.

Values from the calculation:
Uncorrected energy: -4.6174 eV per atom
Total moment: 0.000 μB/atom
Energy of formation: 0.21 eV per atom
Space-group type: P-1

Lattice parameters (Å, degrees): 9.8931 6.0265 16.2579 36.57 24.08 34.83
Closest atoms and distances in Å follow each position.
Atoms (fractional coordinates):
Ho 0.6363 0.3486 0.2727  1 Er 3.23, 1 Sc 3.26, 6 Ho 3.34-3.58
Ho 0.8010 0.6501 0.7294  1 Er 3.23, 1 Sc 3.26, 6 Ho 3.33-3.55
Ho 0.4993 0.0004 0.0003  8 Ho 3.33-3.66, 2 Er 3.44
Ho 0.1992 0.3498 0.2706  1 Er 3.22, 1 Sc 3.26, 6 Ho 3.33-3.55
Ho 0.3634 0.6509 0.7275  1 Er 3.23, 1 Sc 3.26, 6 Ho 3.34-3.58
Er 0.0001 0.0005 0.9997  6 Ho 3.22-3.44, 2 Sc 3.37
Sc 0.5006 0.4997 0.4997  4 Ho 3.26, 2 Er 3.37

---

A relaxed structure of Ho2Er4Sc3. Source: Alexandria, functional GGA-PBE.

Values from the calculation:
Uncorrected energy: -5.0785 eV per atom
Total moment: 0.000 μB/atom
Energy of formation: 0.08 eV per atom
Energy relative to the lowest polymorph listed for this composition: 0 meV/atom
Space-group type: C2/c

Lattice parameters (Å, degrees): 6.5009 9.5818 9.5818 60.23 92.26 92.26
Closest atoms and distances in Å follow each position.
Atoms (fractional coordinates):
Ho 0.5797 0.1872 0.4373  4 Sc 3.24-3.46, 4 Er 3.28-3.44, 1 Ho 3.30
Ho 0.9203 0.5627 0.8128  4 Sc 3.24-3.46, 4 Er 3.28-3.44, 1 Ho 3.30
Ho 0.4203 0.8128 0.5627  4 Sc 3.24-3.46, 4 Er 3.28-3.44, 1 Ho 3.30
Ho 0.0797 0.4373 0.1872  4 Sc 3.24-3.46, 4 Er 3.28-3.44, 1 Ho 3.30
Er 0.5083 0.8505 0.1940  3 Sc 3.15-3.50, 4 Er 3.26-3.40, 1 Ho 3.44
Er 0.9917 0.8060 0.1495  3 Sc 3.15-3.50, 4 Er 3.26-3.40, 1 Ho 3.44
Er 0.4917 0.1495 0.8060  3 Sc 3.15-3.50, 4 Er 3.26-3.40, 1 Ho 3.44
Er 0.0083 0.1940 0.8505  3 Sc 3.15-3.50, 4 Er 3.26-3.40, 1 Ho 3.44
Er 0.0896 0.1297 0.5539  3 Sc 3.23-3.50, 3 Er 3.26-3.55, 3 Ho 3.28-3.43
Er 0.4104 0.4461 0.8703  3 Sc 3.23-3.50, 3 Er 3.26-3.55, 3 Ho 3.28-3.43
Er 0.9104 0.8703 0.4461  3 Sc 3.23-3.50, 3 Er 3.26-3.55, 3 Ho 3.28-3.43
Er 0.5896 0.5539 0.1297  3 Sc 3.23-3.50, 3 Er 3.26-3.55, 3 Ho 3.28-3.43
Sc 0.7442 0.1956 0.1183  4 Er 3.15-3.33, 3 Ho 3.24-3.46, 2 Sc 3.33
Sc 0.7558 0.8817 0.8044  4 Er 3.15-3.33, 3 Ho 3.24-3.46, 2 Sc 3.33
Sc 0.2558 0.8044 0.8817  4 Er 3.15-3.33, 3 Ho 3.24-3.46, 2 Sc 3.33
Sc 0.2442 0.1183 0.1956  4 Er 3.15-3.33, 3 Ho 3.24-3.46, 2 Sc 3.33
Sc 0.2500 0.5101 0.4899  2 Sc 3.26, 2 Ho 3.44, 6 Er 3.50-3.64
Sc 0.7500 0.4899 0.5101  2 Sc 3.26, 2 Ho 3.44, 6 Er 3.50-3.64

---

A relaxed structure of Ho3Er4Sc4. Source: Alexandria, functional GGA-PBE.

Values from the calculation:
Uncorrected energy: -5.1417 eV per atom
Total moment: 0.000 μB/atom
Energy of formation: 0.07 eV per atom
Energy relative to the lowest polymorph listed for this composition: 20 meV/atom
Space-group type: P-1

Lattice parameters (Å, degrees): 3.3828 5.3798 17.4104 81.14 84.41 90.00
Closest atoms and distances in Å follow each position.
Atoms (fractional coordinates):
Ho 0.1385 0.6387 0.7236  2 Ho 3.38, 6 Er 3.51-3.55, 6 Sc 3.55-3.69
Ho 0.8615 0.3613 0.2764  2 Ho 3.38, 6 Er 3.51-3.55, 6 Sc 3.55-3.69
Ho 0.0001 0.0000 0.0000  2 Ho 3.38, 8 Er 3.56-3.57, 4 Sc 3.57
Er 0.5475 0.5475 0.9058  2 Sc 3.09, 3 Er 3.23-3.38
Er 0.4527 0.4526 0.0942  2 Sc 3.09, 3 Er 3.23-3.38
Er 0.3175 0.8176 0.3641  5 Sc 3.09-3.34, 2 Er 3.38
Er 0.6825 0.1824 0.6359  5 Sc 3.09-3.34, 2 Er 3.38
Sc 0.5918 0.0922 0.8165  3 Er 3.09, 2 Sc 3.38
Sc 0.2662 0.2658 0.4680  4 Er 3.23-3.34, 6 Sc 3.36-3.38
Sc 0.7337 0.7342 0.5320  4 Er 3.23-3.34, 6 Sc 3.36-3.38
Sc 0.4083 0.9078 0.1835  3 Er 3.09, 2 Sc 3.38